Material: HfCoF3
Method: DFT, GGA+U
State: optimized geometry

POSCAR file:
```
HfCoF3
1.0
4.084 0.000 0.000
0.000 4.084 0.000
0.000 0.000 4.084
Hf Co F
1 1 3
direct
0.000 0.000 0.000
0.500 0.500 0.500
0.000 0.500 0.500
0.500 0.000 0.500
0.500 0.500 0.000
```

## Properties
Fermi-level density of states: 1.3913 states/eV per atom
Space-group type: Pm-3m (221)
Calculated volume: 68 Å³ per cell
Final energy: -26.1 eV per cell